AcTbPr6Sm2 | PBE | relaxed

Output
As for the formation energy: 2.62 kcal/mol of atoms. As for the mass density: 6.96 Mg/m³. The value obtained for the calculated total energy is -182.86 eV for the cell shown. The density of states at the Fermi level is 14.8 states/eV/f.u.

Cell lengths 9.436, 15.705, 9.928 Å; angles 90.00, 96.53, 90.00 degrees
Space group C2/c (No. 15)
Inequivalent atoms, fractional coordinates:
Ac (0.000, 0.024, 0.250) [4 per cell]
Tb (0.000, 0.411, 0.750) [4 per cell]
Pr (0.063, 0.187, 0.947) [8 per cell]
Pr (0.102, 0.395, 0.118) [8 per cell]
Pr (0.213, 0.226, 0.314) [8 per cell]
Sm (0.245, 0.445, 0.454) [8 per cell]